1.
## CrB2I (PBEsol)

Data for a relaxed CrB2I crystal.

Lattice parameters (Å, degrees): 6.1333 6.1333 6.1333 130.61 130.61 72.43
Element x y z (fractional)
Cr 0.0000 0.0000 0.0000
Cr 0.7500 0.2500 0.5000
B 0.0599 0.6250 0.9349
B 0.3750 0.3099 0.4349
B 0.6901 0.1250 0.0651
B 0.8750 0.9401 0.5651
I 0.2500 0.7500 0.5000
I 0.5000 0.5000 0.0000

Results
Uncorrected energy (eV per formula unit): -20.5
Energy relative to the elements, uncorrected (eV/atom): 1.3766


2.
## Mn2CrBI (PBEsol)

Data for a relaxed Mn2CrBI crystal.

Lattice parameters (Å, degrees): 3.9729 3.9729 5.0622 90.00 90.00 90.00
Element x y z (fractional)
Mn 0.0000 0.5000 0.0000
Mn 0.5000 0.0000 0.0000
Cr 0.0000 0.0000 0.5000
B 0.5000 0.5000 0.0000
I 0.5000 0.5000 0.5000

Results
Uncorrected energy (eV per formula unit): -33.2
Energy relative to the elements, uncorrected (eV/atom): 1.0720


3.
## CrBI2N (PBEsol)

Data for a relaxed CrBI2N crystal.

Lattice parameters (Å, degrees): 5.3968 5.3968 3.5682 90.00 90.00 90.00
Element x y z (fractional)
Cr 0.0000 0.0000 0.0000
B 0.5000 0.5000 0.5000
I 0.0000 0.5000 0.0000
I 0.5000 0.0000 0.0000
N 0.0000 0.0000 0.5000

Results
Uncorrected energy (eV per formula unit): -24.7
Energy relative to the elements, uncorrected (eV/atom): 0.9306